The following is a GGA-PBE calculation of Pm2PaIn3Te6 after structural relaxation, from Alexandria via LeMat-Bulk.

As for the uncorrected formation energy: -821 meV per atom. For the raw total energy, the calculation gives -4.659 eV/atom.

The space group is C2/m (No. 12) and the conventional cell measures 7.6613, 13.2589 and 8.6239 Å, with angles of 90.00, 107.20 and 90.00 degrees. Symmetry generates all atoms from Pm at (0.0000, 0.1662, 0.0000), Pa at (0.0000, 0.5000, 0.0000), In at (0.0000, 0.0000, 0.5000), In at (0.0000, 0.3310, 0.5000), Te at (0.2377, 0.3369, 0.2250) and Te at (0.2504, 0.0000, 0.2274).